A geometry-optimized SnHgAsF2 structure. Source: the Alexandria database, functional PBE-GGA.

## Properties
Space-group type   P4/mmm, No. 123
ΔE_f (raw)   -1.1594 eV per atom

Cell and atoms, written as POSCAR:
```
SnHgAsF2
1.0
4.322 0.000 0.000
0.000 4.322 0.000
0.000 0.000 5.712
Sn Hg As F
1 1 1 2
Cartesian
0.000 0.000 0.000
2.161 2.161 2.856
0.000 0.000 2.856
0.000 2.161 0.000
2.161 0.000 0.000
```